DFT (PBE) results for a relaxed structure of Pm4SmPu3Se8.

abc: 8.365 8.365 8.365
angles: 59.69 59.69 59.69
Element x y z (fractional)
1 Pm 0.000 0.000 0.000
2 Pm 0.000 0.500 0.500
3 Pm 0.500 0.000 0.500
4 Pm 0.500 0.500 0.000
5 Sm 0.500 0.500 0.500
6 Pu 0.000 0.000 0.500
7 Pu 0.000 0.500 0.000
8 Pu 0.500 0.000 0.000
9 Se 0.247 0.749 0.749
10 Se 0.248 0.248 0.248
11 Se 0.251 0.251 0.753
12 Se 0.251 0.753 0.251
13 Se 0.749 0.247 0.749
14 Se 0.749 0.749 0.247
15 Se 0.752 0.752 0.752
16 Se 0.753 0.251 0.251

Properties
Space group: R-3m (166)
Uncorrected energy, eV per atom: -7.6510
V, Å³ per cell: 411.0
Theoretical density, g/cm³: 8.460

---

DFT (PBE) results for a relaxed structure of IrAuF2.

abc: 4.278 4.278 4.278
angles: 60.00 60.00 60.00
Element x y z (fractional)
1 Ir 0.000 0.000 0.000
2 Au 0.500 0.500 0.500
3 F 0.250 0.250 0.250
4 F 0.750 0.750 0.750

Properties
Energy above the lowest structure with this stoichiometry, meV/atom: 1023
Space group: Fm-3m (225)
Uncorrected energy, eV per atom: -3.6319
V, Å³ per cell: 55.3
Theoretical density, g/cm³: 12.817

---

DFT (PBE) results for a relaxed structure of Nb3FeSn.

abc: 4.625 4.625 4.625
angles: 90.00 90.00 90.00
Element x y z (fractional)
1 Nb 0.000 0.000 0.500
2 Nb 0.000 0.500 0.000
3 Nb 0.500 0.000 0.000
4 Fe 0.000 0.000 0.000
5 Sn 0.500 0.500 0.500

Properties
Energy above the lowest structure with this stoichiometry, meV/atom: 0
Space group: Pm-3m (221)
Energy of formation from the pure elements, eV/atom: 0.42
Uncorrected energy, eV per atom: -8.1170
V, Å³ per cell: 98.9
Theoretical density, g/cm³: 7.609

---

DFT (PBE) results for a relaxed structure of NaAcHg.

abc: 7.833 6.599 6.477
angles: 73.60 53.92 52.48
Element x y z (fractional)
1 Na 0.162 0.838 0.162
2 Na 0.838 0.162 0.838
3 Ac 0.326 0.326 0.674
4 Ac 0.674 0.674 0.326
5 Hg 0.250 0.250 0.250
6 Hg 0.750 0.750 0.750

Properties
Energy above the lowest structure with this stoichiometry, meV/atom: 71
Space group: Fmmm (69)
Energy of formation from the pure elements, eV/atom: -0.15
Uncorrected energy, eV per atom: -2.0644
V, Å³ per cell: 213.1
Theoretical density, g/cm³: 7.023

---

DFT (PBE) results for a relaxed structure of NaLiAl2Ga2.

abc: 4.422 4.422 7.167
angles: 90.00 90.00 120.00
Element x y z (fractional)
1 Na 0.000 0.000 0.000
2 Li 0.000 0.000 0.500
3 Al 0.333 0.667 0.696
4 Al 0.667 0.333 0.304
5 Ga 0.333 0.667 0.283
6 Ga 0.667 0.333 0.717

Properties
Space group: P-3m1 (164)
Energy of formation from the pure elements, eV/atom: -0.09
Uncorrected energy, eV per atom: -2.8816
V, Å³ per cell: 121.4
Theoretical density, g/cm³: 3.055

---

DFT (PBE) results for a relaxed structure of CaTaMo2.

abc: 9.874 9.874 9.874
angles: 153.02 153.02 38.53
Element x y z (fractional)
1 Ca 0.000 0.000 0.000
2 Ca 0.750 0.250 0.500
3 Ta 0.250 0.750 0.500
4 Ta 0.500 0.500 0.000
5 Mo 0.286 0.125 0.661
6 Mo 0.375 0.714 0.839
7 Mo 0.464 0.625 0.339
8 Mo 0.875 0.536 0.161

Properties
Energy above the lowest structure with this stoichiometry, meV/atom: 836
Space group: I-42d (122)
Energy of formation from the pure elements, eV/atom: 1.26
Uncorrected energy, eV per atom: -7.6154
V, Å³ per cell: 197.8
Theoretical density, g/cm³: 6.931